No. 1
## Sr2GeHAu (PBE)

Data for an optimized crystal structure of Sr2GeHAu.

a b c (Å): 5.5303 5.5303 3.8171
angles (deg): 90.00 90.00 90.00
Space group P4/mmm (No. 123)
Unique sites:
Sr  0.0000  0.5000  0.0000 (multiplicity 2)
Ge  0.0000  0.0000  0.5000 (multiplicity 1)
H  0.5000  0.5000  0.0000 (multiplicity 1)
Au  0.5000  0.5000  0.5000 (multiplicity 1)

Calculated values
Calculated total energy in eV/atom: -3.425
DOS at the Fermi energy in states/eV per atom: 0.264
Crystal system: tetragonal
V in A^3/atom: 23.348
Total magnetization in μB per cell: 0.000

---

No. 2
## CdRePt2 (PBE)

Data for an optimized crystal structure of CdRePt2.

a b c (Å): 2.7826 4.6584 4.9920
angles (deg): 90.00 90.00 90.00
Space group Pmm2 (No. 25)
Unique sites:
Cd  0.0000  0.0000  0.0000 (multiplicity 1)
Re  0.0000  0.5000  0.3619 (multiplicity 1)
Pt  0.5000  0.0000  0.4952 (multiplicity 1)
Pt  0.5000  0.5000  0.8475 (multiplicity 1)

Calculated values
ΔH_f (0 K) in meV per atom: 9
DOS at the Fermi energy in states/eV per atom: 0.643
Crystal system: orthorhombic
V in A^3/atom: 16.177
Total magnetization in μB per cell: 0.000

---

No. 3
## Tb2Hg4Pb (PBE)

Data for an optimized crystal structure of Tb2Hg4Pb.

a b c (Å): 5.1818 5.1818 23.4056
angles (deg): 90.00 90.00 120.00
Space group R-3m (No. 166, hexagonal axes)
Unique sites:
Tb  0.0000  0.0000  0.2245 (multiplicity 6)
Hg  0.0000  0.0000  0.0722 (multiplicity 6)
Hg  0.0000  0.0000  0.3600 (multiplicity 6)
Pb  0.0000  0.0000  0.5000 (multiplicity 3)

Calculated values
ΔH_f (0 K) in meV per atom: -313
DOS at the Fermi energy in states/eV per atom: 0.487
Crystal system: trigonal
V in A^3/atom: 25.918
Total magnetization in μB per cell: 0.000